Compound: Cs2MnO4
Source: the Alexandria database
Functional: GGA+U
Structure: relaxed

For the density, the calculation gives 3.79 g/cm³. Its total magnetic moment is 1.00 μB/f.u. As for the excess energy over the best structure of this formula in the dataset: 0.025 eV per atom.

a b c (Å): 6.2169 6.4855 9.5290
angles (deg): 90.00 90.00 118.64
Last column: magnetic moment on the atom in μB.
Sites, in units of the cell vectors:
O (0.1119, 0.7767, 0.8318)  0.02
O (0.6649, 0.7767, 0.8318)  0.02
O (0.1088, 0.2175, 0.5720)  0.01
O (0.3351, 0.2233, 0.3318)  0.02
O (0.6928, 0.3855, 0.9037)  0.01
O (0.8881, 0.2233, 0.3318)  0.02
O (0.3072, 0.6145, 0.4037)  0.01
O (0.8912, 0.7825, 0.0720)  0.01
Cs (0.5159, 0.0319, 0.6089)  0.00
Cs (0.4841, 0.9681, 0.1089)  0.00
Cs (0.1621, 0.3241, 0.8700)  0.00
Cs (0.8379, 0.6759, 0.3700)  0.00
Mn (0.1602, 0.3204, 0.4083)  -1.04
Mn (0.8398, 0.6796, 0.9083)  -1.04